This record from OQMD describes a relaxed structure of NaPmLu. The functional is PBE-GGA.

Cell: 7.492 7.492 7.492 Å, 90.00 90.00 90.00°
Space group F-43m (No. 216)
Unique sites:
Na: 0.000 0.000 0.000 x4
Pm: 0.250 0.250 0.250 x4
Lu: 0.250 0.250 0.750 x4

Its calculated density is 5.417 g/cm3. The calculation puts the uncorrected energy at -2.726 eV/atom. Its offset from the most stable computed form is 0 meV/atom.